DFT (PBE with a Hubbard U) results for a geometry-optimized VNiP2O structure.

Results
Crystal system = tetragonal
Energy = -21.8 eV per cell
ΔE to the lowest computed polymorph = 0.499 eV/atom
Calculated volume = 14.0 Å³/atom

abc: 4.475 4.475 3.486
angles: 90.00 90.00 90.00
Space group P4/mmm (No. 123)
One atom of each set of equivalent atoms:
V 0.000 0.000 0.000 (multiplicity 1)
Ni 0.500 0.500 0.500 (multiplicity 1)
P 0.000 0.500 0.500 (multiplicity 2)
O 0.500 0.500 0.000 (multiplicity 1)